MoCl2 | PBE | optimized geometry

Summary:
**M_tot**: 0.0 μB per cell
**Formation energy (no corrections)**: -393.5 meV/atom
**VASP energy**: -5.235 eV/atom
**Symmetry**: Cmcm
**Relative energy among the computed polymorphs**: 546 meV per atom

Cell lengths 8.3638, 8.3638, 4.9195 Å; angles 90.00, 90.00, 158.35 degrees
Positions (direct):
Mo1 0.2157 0.7843 0.7500
Mo2 0.7843 0.2157 0.2500
Cl1 0.1678 0.8322 0.2500
Cl2 0.4009 0.5991 0.2500
Cl3 0.5991 0.4009 0.7500
Cl4 0.8322 0.1678 0.7500